Density functional theory data (PBE with a Hubbard U) for a geometry-optimized Rb3Tb3MoO8 structure.

Computed properties:
Crystal system: monoclinic
Volume (Å³/atom): 18.1
Electronic total energy (eV per atom): -6.75

Cell: 6.8727 6.8727 7.7115 Å, 116.46 116.46 60.32°
Fractional positions:
Rb: 0.0000 0.0000 0.0000
Rb: 0.0000 0.5000 0.0000
Rb: 0.5000 0.0000 0.0000
Tb: 0.0000 0.5000 0.5000
Tb: 0.5000 0.0000 0.5000
Tb: 0.5000 0.5000 0.5000
Mo: 0.0000 0.0000 0.5000
O: 0.2067 0.2067 0.6638
O: 0.2109 0.7443 0.6643
O: 0.2557 0.7891 0.3357
O: 0.2749 0.2749 0.3274
O: 0.7251 0.7251 0.6726
O: 0.7443 0.2109 0.6643
O: 0.7891 0.2557 0.3357
O: 0.7933 0.7933 0.3362